(1)
A plane-wave DFT calculation with PBE was carried out for crystalline DyHg2I8 at its relaxed geometry.

The value obtained for the total DFT energy (no corrections) is -2.195 eV per atom. The total magnetic moment is 0.0835 μB/atom.

The space group is C2/m (No. 12) and the conventional cell measures 12.383, 12.659 and 7.331 Å, with angles of 90.00, 100.92 and 90.00 degrees. The distinct sites, in fractional coordinates, are Dy at (0.000, 0.000, 0.000), Hg at (0.214, 0.000, 0.669), I at (0.054, 0.500, 0.218), I at (0.097, 0.174, 0.790) and I at (0.219, 0.000, 0.279).

---

(2)
A plane-wave DFT calculation with PBE was carried out for crystalline KZn2Mo at its relaxed geometry.

The value obtained for the total DFT energy (no corrections) is -3.067 eV per atom. The total magnetic moment is 0.0000 μB/atom. Its formation energy is 0.5517 eV/atom.

The space group is R-3m (No. 166, hexagonal axes) and the conventional cell measures 2.9067, 2.9067 and 31.4062 Å, with angles of 90.00, 90.00 and 120.00 degrees. The distinct sites, in fractional coordinates, are K at (0.0000, 0.0000, 0.0000), Zn at (0.0000, 0.0000, 0.2380) and Mo at (0.0000, 0.0000, 0.5000).

---

(3)
A plane-wave DFT calculation with PBE was carried out for crystalline LiLa3Tl3 at its relaxed geometry.

The value obtained for the total DFT energy (no corrections) is -3.743 eV per atom. The total magnetic moment is 0.0000 μB/atom. Its formation energy is -0.3442 eV/atom.

The space group is C2/m (No. 12) and the conventional cell measures 11.689, 4.862 and 16.099 Å, with angles of 90.00, 109.91 and 90.00 degrees. The distinct sites, in fractional coordinates, are Li at (0.242, 0.000, 0.405), La at (0.038, 0.500, 0.386), La at (0.092, 0.500, 0.919), La at (0.240, 0.500, 0.226), Tl at (0.033, 0.000, 0.239), Tl at (0.125, 0.000, 0.075) and Tl at (0.137, 0.000, 0.553).

---

What is the total magnetic moment in the third record?
0.0000 μB/atom